Entry 1:
Below is a relaxed structure of Sc6Co2H, with properties calculated at the PBE level.

Cell and atoms, written as extended XYZ:
```
18
Lattice="5.797 0.000 -0.104 0.000 6.443 0.000 0.122 0.000 8.645" Properties=species:S:1:pos:R:3 pbc="T T T"
Co 2.749 0.699 6.468
Sc 2.194 3.474 2.141
Co 5.587 2.522 2.094
H 2.898 3.221 -0.052
H 0.061 0.000 4.323
Sc 0.766 0.253 2.130
Sc 5.153 6.190 6.412
Co 0.332 3.920 6.448
Sc 3.725 2.969 6.400
Sc 4.828 4.345 3.689
Sc 3.961 1.144 3.693
Sc 1.958 5.299 4.848
Sc 3.929 1.124 0.477
Sc 1.123 2.078 8.068
Co 3.170 5.744 2.073
Sc 1.990 5.318 8.064
Sc 1.091 2.097 4.852
Sc 4.796 4.365 0.473
```

Results
final energy = -116.5 eV/cell
V = 323 Å³ per cell
space group = No. 14



Entry 2:
Below is a relaxed structure of Mg4Ga5Ag3, with properties calculated at the PBE level.

Cell and atoms, written as extended XYZ:
```
12
Lattice="-2.574 4.000 -1.579 -7.915 -2.366 -1.046 -3.124 3.227 5.313" Properties=species:S:1:pos:R:3 pbc="T T T"
Mg -6.828 -1.465 -0.533
Ga -2.194 1.863 0.342
Mg -6.784 6.326 3.221
Ag -7.872 1.029 -0.469
Ag -5.741 3.832 3.157
Ag -5.519 0.430 2.134
Ga -6.806 2.431 1.344
Ga -11.418 2.998 2.346
Mg -4.191 3.922 0.857
Mg -9.422 0.940 1.831
Ga -9.194 4.658 2.924
Ga -4.419 0.203 -0.236
```

Results
final energy = -29.5 eV/cell
V = 257 Å³ per cell
space group = No. 12



Entry 3:
Below is a relaxed structure of Ca2AlW, with properties calculated at the PBE level.

Cell and atoms, written as extended XYZ:
```
4
Lattice="-0.961 2.689 1.047 -1.036 -1.642 2.341 8.765 1.275 4.774" Properties=species:S:1:pos:R:3 pbc="T T T"
Al 5.282 1.437 5.114
Ca 8.364 1.216 4.555
Ca 1.573 0.898 3.095
W 4.697 0.683 2.558
```

Results
final energy = -19.0 eV/cell
V = 93 Å³ per cell
space group = No. 35



Entry 4:
Below is a relaxed structure of ThTlPd6, with properties calculated at the PBE level.

Cell and atoms, written as extended XYZ:
```
8
Lattice="-4.006 0.930 -0.765 -1.159 -3.698 1.573 -0.642 3.373 7.458" Properties=species:S:1:pos:R:3 pbc="T T T"
Pd -2.903 0.302 4.133
Pd -2.162 1.300 1.464
Pd -0.738 -1.014 2.633
Pd -1.062 0.689 6.397
Pd -2.582 -1.384 0.404
Pd -2.486 3.002 5.228
Th -0.321 1.687 3.729
Tl 0.000 0.000 0.000
```

Results
final energy = -45.9 eV/cell
V = 144 Å³ per cell
space group = No. 123



Entry 5:
Below is a relaxed structure of KReSe4, with properties calculated at the PBE level.

Cell and atoms, written as extended XYZ:
```
12
Lattice="6.177 0.000 -0.290 0.000 7.848 0.001 -2.126 -3.923 7.551" Properties=species:S:1:pos:R:3 pbc="T T T"
Se 3.939 0.001 5.058
Se 3.150 5.326 1.230
Se 0.000 6.096 0.001
Se 0.900 1.403 6.033
K 3.761 3.924 4.411
Se 0.112 3.924 2.204
Se 4.051 -2.171 7.261
Se 0.900 -1.402 6.032
K 0.290 0.001 2.851
Re 4.829 3.924 -0.225
Re -0.779 0.001 7.487
Se 3.150 2.521 1.229
```

Results
final energy = -59.1 eV/cell
V = 361 Å³ per cell
space group = No. 12
ΔE_f (raw) = -0.34 eV/atom



Entry 6:
Below is a relaxed structure of Ho2TlZn3, with properties calculated at the PBE level.

Cell and atoms, written as extended XYZ:
```
6
Lattice="3.539 0.000 -0.942 -0.332 4.385 -1.246 0.375 0.069 8.527" Properties=species:S:1:pos:R:3 pbc="T T T"
Zn 1.789 2.405 -0.396
Tl 1.661 4.281 6.240
Zn 1.002 3.528 3.765
Ho 0.558 0.638 2.096
Zn 2.389 3.091 1.857
Ho 3.181 1.614 4.831
```

Results
final energy = -16.8 eV/cell
V = 134 Å³ per cell
space group = No. 44



Entry 7:
Below is a relaxed structure of SrNi3Rh, with properties calculated at the PBE level.

Cell and atoms, written as extended XYZ:
```
10
Lattice="4.909 0.000 0.000 0.000 5.317 -2.225 0.000 -0.407 6.494" Properties=species:S:1:pos:R:3 pbc="T T T"
Ni 1.227 4.981 0.028
Ni 3.682 3.070 2.927
Sr 3.682 3.107 -0.042
Ni 1.227 1.840 1.342
Rh 2.454 0.000 0.000
Ni 1.227 4.048 2.208
Rh 0.000 0.000 0.000
Sr 1.227 1.803 4.311
Ni 3.682 -0.071 4.241
Ni 3.682 0.862 2.061
```

Results
final energy = -52.1 eV/cell
V = 165 Å³ per cell
space group = No. 63



Entry 8:
Below is a relaxed structure of Na2LiBeAu2, with properties calculated at the PBE level.

Cell and atoms, written as extended XYZ:
```
12
Lattice="5.756 0.000 0.000 0.000 5.847 0.000 -2.878 -2.924 7.148" Properties=species:S:1:pos:R:3 pbc="T T T"
Li 0.000 4.386 0.000
Be 2.878 4.386 0.000
Na 1.645 2.924 4.589
Au 1.723 2.924 1.406
Na 1.232 0.000 2.559
Au -1.155 2.924 5.742
Na -1.645 0.000 4.589
Na 4.523 2.924 2.559
Au 1.155 0.000 5.742
Li 0.000 1.462 0.000
Be 2.878 1.462 0.000
Au 4.033 0.000 1.406
```

Results
final energy = -32.5 eV/cell
V = 241 Å³ per cell
space group = No. 72



Entry 9:
Below is a relaxed structure of Ag3Au7, with properties calculated at the PBE level.

Cell and atoms, written as extended XYZ:
```
10
Lattice="-3.199 2.425 0.749 -3.401 -4.809 1.048 4.340 0.289 6.465" Properties=species:S:1:pos:R:3 pbc="T T T"
Au -1.700 -2.405 0.524
Ag 0.000 0.000 0.000
Au 1.510 0.236 5.682
Au -3.769 -2.332 2.580
Au -0.189 -2.166 6.201
Ag -0.941 -2.283 3.372
Ag -1.319 0.187 4.890
Au 0.755 0.119 2.839
Au -2.070 0.071 2.061
Au -3.014 -2.214 5.423
```

Results
final energy = -31.8 eV/cell
V = 180 Å³ per cell
space group = No. 12



Entry 10:
Below is a relaxed structure of CrSn, with properties calculated at the PBE level.

Cell and atoms, written as extended XYZ:
```
8
Lattice="3.376 0.000 0.000 0.000 3.376 0.000 0.000 0.000 14.284" Properties=species:S:1:pos:R:3 pbc="T T T"
Sn 0.000 0.000 5.714
Sn 0.000 0.000 8.570
Cr 1.688 0.000 3.571
Cr 0.000 1.688 10.713
Cr 1.688 0.000 10.713
Cr 0.000 1.688 3.571
Sn 1.688 1.688 12.856
Sn 1.688 1.688 1.428
```

Results
final energy = -50.8 eV/cell
V = 163 Å³ per cell
space group = No. 139



Entry 11:
Below is a relaxed structure of Ba2ReAs, with properties calculated at the PBE level.

Cell and atoms, written as extended XYZ:
```
4
Lattice="3.579 0.000 0.000 0.000 3.579 0.000 0.000 0.000 9.233" Properties=species:S:1:pos:R:3 pbc="T T T"
Ba 0.000 0.000 0.008
Ba 0.000 0.000 4.608
As 1.789 1.789 6.925
Re 1.789 1.789 2.308
```

Results
final energy = -18.5 eV/cell
V = 118 Å³ per cell
space group = No. 123



Entry 12:
Below is a relaxed structure of SnBiS2Cl, with properties calculated at the PBE level.

Cell and atoms, written as extended XYZ:
```
5
Lattice="-2.607 -4.372 -0.421 3.393 -2.316 3.036 -2.746 1.250 4.023" Properties=species:S:1:pos:R:3 pbc="T T T"
S 1.697 -1.158 1.518
Bi -0.980 -2.719 3.319
Sn 0.000 0.000 0.000
Cl -1.373 0.625 2.011
S -1.304 -2.186 -0.211
```

Results
final energy = -17.8 eV/cell
V = 131 Å³ per cell
space group = No. 123
ΔE_f (raw) = 0.03 eV/atom



What is the formula in the ninth record? Ag3Au7



Which formula does entry 5 have? KReSe4



Among the records above, which one has the lowest V? Ca2AlW